Record 1
## TaNbSb2As (PBE)

Data for crystalline TaNbSb2As at its relaxed geometry.

Values from the calculation:
DOS at the Fermi energy ... 0.935 states/eV per atom
DFT total energy ... -5.88 eV per atom
E_form (uncorrected) ... 104 kJ per mole of atoms

Lattice parameters (Å, degrees): 5.2565 4.9445 5.2565 90.00 90.00 90.00
Last column: nearest neighbours and their distance in Å.
Positions (direct):
1 Sb 0.0000 0.0000 0.5000  2 Nb 2.63
2 Sb 0.5000 0.0000 0.0000  2 Nb 2.63
3 Nb 0.0000 0.0000 0.0000  2 Ta 2.47, 4 Sb 2.63
4 As 0.5000 0.5000 0.5000  8 Sb 3.61, 4 Ta 3.72
5 Ta 0.0000 0.5000 0.0000  2 Nb 2.47

Record 2
## NbSbTe2As (PBE)

Data for crystalline NbSbTe2As at its relaxed geometry.

Values from the calculation:
Energy above the most stable polymorph in this dataset ... 416 meV per atom
DOS at the Fermi energy ... 0.863 states/eV per atom
DFT total energy ... -4.06 eV per atom
E_form (uncorrected) ... 93 kJ per mole of atoms

Lattice parameters (Å, degrees): 5.3787 5.3787 5.1530 90.00 90.00 90.00
Last column: nearest neighbours and their distance in Å.
Positions (direct):
1 Sb 0.0000 0.0000 0.5000  2 As 2.58
2 Nb 0.5000 0.5000 0.5000  8 Te 3.72, 4 Sb 3.80
3 Te 0.0000 0.5000 0.0000  2 As 2.69
4 Te 0.5000 0.0000 0.0000  2 As 2.69
5 As 0.0000 0.0000 0.0000  2 Sb 2.58, 4 Te 2.69

Record 3
## NbSbTe2As (PBE)

Data for crystalline NbSbTe2As at its relaxed geometry.

Values from the calculation:
Energy above the most stable polymorph in this dataset ... 0 meV per atom
DOS at the Fermi energy ... 0.885 states/eV per atom
DFT total energy ... -4.47 eV per atom
E_form (uncorrected) ... 53 kJ per mole of atoms

Lattice parameters (Å, degrees): 5.3241 5.3241 5.4738 90.00 90.00 90.00
Last column: nearest neighbours and their distance in Å.
Positions (direct):
1 Sb 0.0000 0.0000 0.5000  2 Nb 2.74
2 Nb 0.0000 0.0000 0.0000  4 Te 2.66, 2 Sb 2.74
3 Te 0.0000 0.5000 0.0000  2 Nb 2.66
4 Te 0.5000 0.0000 0.0000  2 Nb 2.66
5 As 0.5000 0.5000 0.5000  4 Sb 3.76, 8 Te 3.82

Record 4
## NbSbTeAs2 (PBE)

Data for crystalline NbSbTeAs2 at its relaxed geometry.

Values from the calculation:
DOS at the Fermi energy ... 1.095 states/eV per atom
DFT total energy ... -4.20 eV per atom
E_form (uncorrected) ... 109 kJ per mole of atoms

Lattice parameters (Å, degrees): 5.2322 5.3782 5.2322 90.00 90.00 90.00
Last column: nearest neighbours and their distance in Å.
Positions (direct):
1 Sb 0.0000 0.0000 0.0000  4 As 2.62, 2 Nb 2.69
2 Nb 0.0000 0.5000 0.0000  2 Sb 2.69
3 Te 0.5000 0.5000 0.5000  4 Nb 3.70, 8 As 3.75
4 As 0.0000 0.0000 0.5000  2 Sb 2.62
5 As 0.5000 0.0000 0.0000  2 Sb 2.62

Record 5
## TiNbSb2As (PBE)

Data for crystalline TiNbSb2As at its relaxed geometry.

Values from the calculation:
DOS at the Fermi energy ... 1.835 states/eV per atom
DFT total energy ... -5.47 eV per atom
E_form (uncorrected) ... 68 kJ per mole of atoms

Lattice parameters (Å, degrees): 5.3699 4.8728 5.3699 90.00 90.00 90.00
Last column: nearest neighbours and their distance in Å.
Positions (direct):
1 Sb 0.0000 0.0000 0.5000  2 Nb 2.68
2 Sb 0.5000 0.0000 0.0000  2 Nb 2.68
3 Nb 0.0000 0.0000 0.0000  2 As 2.44, 4 Sb 2.68
4 As 0.0000 0.5000 0.0000  2 Nb 2.44
5 Ti 0.5000 0.5000 0.5000  8 Sb 3.63, 4 As 3.80

Record 6
## ScNbAs (PBE)

Data for crystalline ScNbAs at its relaxed geometry.

Values from the calculation:
DOS at the Fermi energy ... 0.755 states/eV per atom
DFT total energy ... -7.29 eV per atom
Energy relative to the elements ... -269 meV/atom

Lattice parameters (Å, degrees): 6.6799 9.9936 6.2768 142.76 90.00 90.00
Last column: nearest neighbours and their distance in Å.
Positions (direct):
1 Sc 0.0000 0.8007 0.6013  4 As 2.70-2.72
2 Sc 0.0000 0.1993 0.3987  4 As 2.70-2.72
3 Sc 0.5000 0.3007 0.6013  4 As 2.70-2.72
4 Sc 0.5000 0.6993 0.3987  4 As 2.70-2.72
5 As 0.8137 0.5783 0.0000  3 Nb 2.51-2.68, 4 Sc 2.70-2.72
6 As 0.3137 0.9217 0.0000  3 Nb 2.51-2.68, 4 Sc 2.70-2.72
7 As 0.1863 0.4217 0.0000  3 Nb 2.51-2.68, 4 Sc 2.70-2.72
8 As 0.6863 0.0783 0.0000  3 Nb 2.51-2.68, 4 Sc 2.70-2.72
9 Nb 0.6682 0.8099 0.0000  3 As 2.51-2.68
10 Nb 0.8318 0.3099 0.0000  3 As 2.51-2.68
11 Nb 0.1682 0.6901 0.0000  3 As 2.51-2.68
12 Nb 0.3318 0.1901 0.0000  3 As 2.51-2.68

Record 7
## ScNb3As (PBE)

Data for crystalline ScNb3As at its relaxed geometry.

Values from the calculation:
Energy above the most stable polymorph in this dataset ... 1168 meV per atom
DOS at the Fermi energy ... 1.459 states/eV per atom
DFT total energy ... -6.66 eV per atom
Energy relative to the elements ... 1576 meV/atom

Lattice parameters (Å, degrees): 4.7546 4.7546 4.7546 90.00 90.00 90.00
Last column: nearest neighbours and their distance in Å.
Positions (direct):
1 Sc 0.0000 0.0000 0.0000  6 Nb 2.38
2 Nb 0.0000 0.5000 0.0000  2 Sc 2.38
3 Nb 0.0000 0.0000 0.5000  2 Sc 2.38
4 Nb 0.5000 0.0000 0.0000  2 Sc 2.38
5 As 0.5000 0.5000 0.5000  12 Nb 3.36

Record 8
## ScNb2As2 (PBE)

Data for crystalline ScNb2As2 at its relaxed geometry.

Values from the calculation:
Energy above the most stable polymorph in this dataset ... 0 meV per atom
DOS at the Fermi energy ... 0.682 states/eV per atom
DFT total energy ... -7.80 eV per atom
Energy relative to the elements ... -648 meV/atom

Lattice parameters (Å, degrees): 7.1800 7.1800 3.4446 90.00 90.00 90.00
Last column: nearest neighbours and their distance in Å.
Positions (direct):
1 Sc 0.0000 0.0000 0.0000  4 As 2.75
2 Sc 0.5000 0.5000 0.0000  4 As 2.75
3 Nb 0.1475 0.6475 0.5000  6 As 2.71-2.73, 1 Nb 3.00
4 Nb 0.6475 0.8525 0.5000  6 As 2.71-2.73, 1 Nb 3.00
5 Nb 0.8525 0.3525 0.5000  6 As 2.71-2.73, 1 Nb 3.00
6 Nb 0.3525 0.1475 0.5000  6 As 2.71-2.73, 1 Nb 3.00
7 As 0.3533 0.8533 0.0000  6 Nb 2.71-2.73, 2 Sc 2.75, 1 As 2.98
8 As 0.8533 0.6467 0.0000  6 Nb 2.71-2.73, 2 Sc 2.75, 1 As 2.98
9 As 0.6467 0.1467 0.0000  6 Nb 2.71-2.73, 2 Sc 2.75, 1 As 2.98
10 As 0.1467 0.3533 0.0000  6 Nb 2.71-2.73, 2 Sc 2.75, 1 As 2.98

Question: Number 6 is which compound?
Answer: ScNbAs